{"formula": "Rb2FeSeF6", "functional": "PBE+U", "state": "relaxed", "lattice": [[-3.457, 3.457, 4.067], [3.457, -3.457, 4.067], [3.457, 3.457, -4.067]], "species": ["Rb", "Rb", "Fe", "Se", "F", "F", "F", "F", "F", "F"], "frac_coords": [[0.250, 0.750, 0.500], [0.750, 0.250, 0.500], [0.000, 0.000, 0.000], [0.500, 0.500, 0.000], [0.196, 0.196, 0.392], [0.196, 0.804, 0.000], [0.252, 0.252, 0.000], [0.748, 0.748, 0.000], [0.804, 0.196, 0.000], [0.804, 0.804, 0.608]], "dos_ef_per_ev_cell": 14.055, "energy_ry_per_atom": -0.322}